[1]
The following is a DFT calculation (PBE-GGA) of a relaxed structure of LaNdTm2.

The structure in POSCAR format:
```
LaNdTm2
1.0
5.740 0.000 0.000
2.870 4.971 0.000
2.870 1.657 4.687
Nd Tm La
1 2 1
direct
0.000 0.000 0.000
0.250 0.250 0.250
0.750 0.750 0.750
0.500 0.500 0.500
```

Computed properties:
excess energy over the best structure of this formula in the dataset: 65 meV/atom


[2]
The following is a DFT calculation (PBE-GGA) of a relaxed structure of LaNdTm4.

The structure in POSCAR format:
```
LaNdTm4
1.0
-5.571 1.605 3.295
-0.178 -0.422 6.652
-0.210 5.551 3.688
Nd La Tm
1 1 4
direct
0.000 0.000 0.000
0.250 0.250 0.250
0.625 0.625 0.125
0.125 0.625 0.625
0.625 0.125 0.625
0.625 0.625 0.625
```

Computed properties:
excess energy over the best structure of this formula in the dataset: 245 meV/atom


[3]
The following is a DFT calculation (PBE-GGA) of a relaxed structure of La9NdTm2.

The structure in POSCAR format:
```
La9NdTm2
1.0
-0.551 -3.784 3.528
3.636 -2.807 -2.443
11.065 6.634 8.844
La Tm Nd
9 2 1
direct
0.000 0.500 0.169
0.000 0.500 0.831
0.500 0.500 0.335
0.500 0.500 0.000
0.500 0.500 0.665
0.500 0.000 0.831
0.500 0.000 0.500
0.500 0.000 0.169
0.000 0.500 0.500
0.000 0.000 0.335
0.000 0.000 0.665
0.000 0.000 0.000
```


[4]
The following is a DFT calculation (PBE-GGA) of a relaxed structure of La3Nd3Tm5.

The structure in POSCAR format:
```
La3Nd3Tm5
1.0
-0.454 4.021 3.504
1.218 -6.264 7.346
7.721 4.362 -4.006
La Nd Tm
3 3 5
direct
0.500 0.000 0.270
0.500 0.270 0.000
0.500 0.730 0.730
0.000 0.570 0.570
0.000 0.430 0.000
0.000 0.000 0.430
0.500 0.333 0.667
0.500 0.361 0.361
0.500 0.667 0.333
0.500 0.639 0.000
0.500 0.000 0.639
```


[5]
The following is a DFT calculation (PBE-GGA) of a relaxed structure of La3Nd6Tm.

The structure in POSCAR format:
```
La3Nd6Tm
1.0
6.409 0.000 0.000
0.000 10.661 0.205
0.000 -2.179 10.438
La Nd Tm
6 12 2
direct
0.955 0.721 0.866
0.455 0.279 0.134
0.091 0.364 0.636
0.955 0.134 0.279
0.591 0.636 0.364
0.455 0.866 0.721
0.114 0.742 0.258
0.574 0.560 0.679
0.074 0.679 0.560
0.406 0.014 0.433
0.906 0.433 0.014
0.574 0.321 0.440
0.906 0.986 0.567
0.406 0.567 0.986
0.614 0.258 0.742
0.074 0.440 0.321
0.730 0.061 0.939
0.230 0.939 0.061
0.680 0.848 0.152
0.180 0.152 0.848
```


[6]
The following is a DFT calculation (PBE-GGA) of a relaxed structure of La4Nd2Tm3.

The structure in POSCAR format:
```
La4Nd2Tm3
1.0
-0.683 -3.275 -1.417
-0.444 0.567 3.561
-25.976 7.327 -4.406
Tm Nd La
3 2 4
direct
0.667 0.333 0.654
0.000 0.000 0.323
0.000 0.000 0.982
0.667 0.333 0.084
0.667 0.333 0.878
0.000 0.000 0.549
0.667 0.333 0.429
0.667 0.333 0.218
0.000 0.000 0.760
```

Computed properties:
excess energy over the best structure of this formula in the dataset: 0 meV/atom


[7]
The following is a DFT calculation (PBE-GGA) of a relaxed structure of La2Nd3Tm.

The structure in POSCAR format:
```
La2Nd3Tm
1.0
6.389 0.000 0.000
-3.194 5.533 0.000
0.000 0.000 11.864
Nd Tm La
6 2 4
direct
0.326 0.000 0.750
0.326 0.326 0.250
0.000 0.326 0.750
0.000 0.674 0.250
0.674 0.674 0.750
0.674 0.000 0.250
0.000 0.000 0.500
0.000 0.000 0.000
0.333 0.667 0.000
0.667 0.333 0.000
0.667 0.333 0.500
0.333 0.667 0.500
```

Computed properties:
excess energy over the best structure of this formula in the dataset: 0 meV/atom


[8]
The following is a DFT calculation (PBE-GGA) of a relaxed structure of La3Nd2Tm3.

The structure in POSCAR format:
```
La3Nd2Tm3
1.0
-4.840 -1.382 0.386
1.357 -4.945 -0.687
2.878 2.050 10.413
La Nd Tm
3 2 3
direct
0.500 0.000 0.000
0.378 0.378 0.757
0.622 0.622 0.243
0.749 0.249 0.497
0.251 0.751 0.503
0.000 0.500 0.000
0.874 0.874 0.749
0.126 0.126 0.251
```

Computed properties:
excess energy over the best structure of this formula in the dataset: 0 meV/atom


Number 1: N(E_F) 6.82 states/eV/f.u., energy of formation from the pure elements 0.3 eV/f.u.. Number 2: N(E_F) 12.12 states/eV/f.u., energy of formation from the pure elements 1.6 eV/f.u.. Number 3: N(E_F) 16.63 states/eV/f.u., energy of formation from the pure elements 0.1 eV/f.u.. Number 4: N(E_F) 16.08 states/eV/f.u., energy of formation from the pure elements 7.7 eV/f.u.. Number 5: N(E_F) 14.23 states/eV/f.u., energy of formation from the pure elements 1.7 eV/f.u.. Number 6: N(E_F) 15.23 states/eV/f.u., energy of formation from the pure elements 0.5 eV/f.u.. Number 7: N(E_F) 7.40 states/eV/f.u., energy of formation from the pure elements 0.0 eV/f.u.. Number 8: N(E_F) 13.17 states/eV/f.u., energy of formation from the pure elements 0.2 eV/f.u..